{
  "formula": "Sr3Mg6Zn5",
  "functional": "PBE",
  "state": "optimized geometry",
  "cell": [[-2.0721, -1.9445, -3.7990], [5.8596, -7.9936, 0.8955], [-9.8922, -6.2865, 8.6131]],
  "species": ["Zn", "Zn", "Zn", "Zn", "Zn", "Zn", "Zn", "Zn", "Zn", "Zn", "Sr", "Sr", "Sr", "Sr", "Sr", "Sr", "Mg", "Mg", "Mg", "Mg", "Mg", "Mg", "Mg", "Mg", "Mg", "Mg", "Mg", "Mg"],
  "frac_coords": [[0.0000, 0.7687, 0.0000], [0.0000, 0.5677, 0.8809], [0.0000, 0.8744, 0.3438], [0.5000, 0.2313, 0.5000], [0.5000, 0.1256, 0.1562], [0.5000, 0.4323, 0.6191], [0.5000, 0.1256, 0.8438], [0.0000, 0.8744, 0.6562], [0.0000, 0.5677, 0.1191], [0.5000, 0.4323, 0.3809], [0.5000, 0.7610, 0.7942], [0.5000, 0.7250, 0.5000], [0.5000, 0.7610, 0.2058], [0.0000, 0.2750, 0.0000], [0.0000, 0.2390, 0.7058], [0.0000, 0.2390, 0.2942], [0.0000, 0.4067, 0.5000], [0.0000, 0.9768, 0.8606], [0.5000, 0.9501, 0.0000], [0.5000, 0.4185, 0.1769], [0.0000, 0.0499, 0.5000], [0.0000, 0.9768, 0.1394], [0.0000, 0.5815, 0.6769], [0.5000, 0.0232, 0.6394], [0.0000, 0.5815, 0.3231], [0.5000, 0.0232, 0.3606], [0.5000, 0.5933, 0.0000], [0.5000, 0.4185, 0.8231]],
  "magnetic_moment_mub_per_fu": 0.0,
  "mass_density_kg_m3": 3558,
  "e_form_mev_per_atom": -146,
  "spacegroup": "No. 59",
  "e_tot_ha_per_atom": -0.0604
}